Computed, not measured: a geometry-optimized LiIn4Sn5 structure at the PBE-GGA level of DFT.

```
data_LiIn4Sn5
_chemical_formula_sum 'Li2 In8 Sn10'
_cell_length_a 5.343
_cell_length_b 9.737
_cell_length_c 10.805
_cell_angle_alpha 90.00
_cell_angle_beta 90.00
_cell_angle_gamma 90.00
_space_group_name_H-M_alt 'I m m m'
_space_group_IT_number 71
_space_group_name_Hall '-I 2 2'
loop_
_atom_site_label
_atom_site_fract_x
_atom_site_fract_y
_atom_site_fract_z
Li1 0.000 0.000 0.000
In1 0.000 0.325 0.000
In2 0.000 0.500 0.355
Sn1 0.000 0.000 0.500
Sn2 0.000 0.168 0.252
```

Its density of states at the Fermi level is 0.4457 states/eV per atom.



Computed, not measured: a geometry-optimized LiIn6Sn3 structure at the PBE-GGA level of DFT.

```
data_LiIn6Sn3
_chemical_formula_sum 'Li2 In12 Sn6'
_cell_length_a 8.850
_cell_length_b 5.405
_cell_length_c 11.782
_cell_angle_alpha 90.00
_cell_angle_beta 110.74
_cell_angle_gamma 90.00
_space_group_name_H-M_alt 'P 1 21/m 1'
_space_group_IT_number 11
loop_
_space_group_symop_operation_xyz
'x,y,z'
'-x,-y,-z'
'-x,y+1/2,-z'
'x,-y+1/2,z'
loop_
_atom_site_label
_atom_site_fract_x
_atom_site_fract_y
_atom_site_fract_z
Li1 0.029 0.250 0.424
In1 0.075 0.750 0.858
In2 0.135 0.250 0.707
In3 0.158 0.750 0.157
In4 0.239 0.750 0.462
In5 0.308 0.250 0.321
In6 0.470 0.750 0.075
Sn1 0.227 0.250 0.014
Sn2 0.373 0.750 0.751
Sn3 0.444 0.250 0.617
```

Its density of states at the Fermi level is 0.3539 states/eV per atom.



Computed, not measured: a geometry-optimized LiIn4Sn4 structure at the PBE-GGA level of DFT.

```
data_LiIn4Sn4
_chemical_formula_sum 'Li2 In8 Sn8'
_cell_length_a 10.389
_cell_length_b 10.389
_cell_length_c 4.377
_cell_angle_alpha 90.00
_cell_angle_beta 90.00
_cell_angle_gamma 90.00
_space_group_name_H-M_alt 'I 4/m m m'
_space_group_IT_number 139
_space_group_name_Hall '-I 4 2'
loop_
_atom_site_label
_atom_site_fract_x
_atom_site_fract_y
_atom_site_fract_z
Li1 0.000 0.000 0.000
In1 0.000 0.328 0.000
Sn1 0.161 0.161 0.500
```

Its density of states at the Fermi level is 0.5761 states/eV per atom.



Computed, not measured: a geometry-optimized LiIn6Sn5 structure at the PBE-GGA level of DFT.

```
data_LiIn6Sn5
_chemical_formula_sum 'Li2 In12 Sn10'
_cell_length_a 4.300
_cell_length_b 14.885
_cell_length_c 9.915
_cell_angle_alpha 90.00
_cell_angle_beta 90.00
_cell_angle_gamma 90.00
_space_group_name_H-M_alt 'C m m m'
_space_group_IT_number 65
_space_group_name_Hall '-C 2 2'
loop_
_atom_site_label
_atom_site_fract_x
_atom_site_fract_y
_atom_site_fract_z
Li1 0.000 0.000 0.000
In1 0.000 0.165 0.246
In2 0.000 0.500 0.237
Sn1 0.000 0.000 0.500
Sn2 0.000 0.336 0.000
Sn3 0.000 0.337 0.500
```

Its density of states at the Fermi level is 0.4406 states/eV per atom.



Computed, not measured: a geometry-optimized Li3In2Sn structure at the PBE-GGA level of DFT.

```
data_Li3In2Sn
_chemical_formula_sum 'Li3 In2 Sn1'
_cell_length_a 3.352
_cell_length_b 3.352
_cell_length_c 10.653
_cell_angle_alpha 90.00
_cell_angle_beta 90.00
_cell_angle_gamma 90.00
_space_group_name_H-M_alt 'P 4/m m m'
_space_group_IT_number 123
_space_group_name_Hall '-P 4 2'
loop_
_atom_site_label
_atom_site_fract_x
_atom_site_fract_y
_atom_site_fract_z
Li1 0.000 0.000 0.000
Li2 0.000 0.000 0.335
In1 0.500 0.500 0.169
Sn1 0.500 0.500 0.500
```

Its density of states at the Fermi level is 0.3787 states/eV per atom. As for the energy above the most stable polymorph in this dataset: 0 meV/atom.



Computed, not measured: a geometry-optimized LiIn6Sn structure at the PBE-GGA level of DFT.

```
data_LiIn6Sn
_chemical_formula_sum 'Li1 In6 Sn1'
_cell_length_a 4.524
_cell_length_b 4.524
_cell_length_c 9.973
_cell_angle_alpha 90.00
_cell_angle_beta 90.00
_cell_angle_gamma 90.00
_space_group_name_H-M_alt 'P 4/m m m'
_space_group_IT_number 123
_space_group_name_Hall '-P 4 2'
loop_
_atom_site_label
_atom_site_fract_x
_atom_site_fract_y
_atom_site_fract_z
Li1 0.000 0.000 0.000
In1 0.000 0.500 0.238
In2 0.500 0.500 0.000
In3 0.500 0.500 0.500
Sn1 0.000 0.000 0.500
```

Its density of states at the Fermi level is 0.3992 states/eV per atom. As for the energy above the most stable polymorph in this dataset: 12 meV/atom.



Computed, not measured: a geometry-optimized Li4InSn5 structure at the PBE-GGA level of DFT.

```
data_Li4InSn5
_chemical_formula_sum 'Li4 In1 Sn5'
_cell_length_a 3.497
_cell_length_b 3.497
_cell_length_c 17.926
_cell_angle_alpha 90.00
_cell_angle_beta 90.00
_cell_angle_gamma 90.00
_space_group_name_H-M_alt 'P 4/m m m'
_space_group_IT_number 123
_space_group_name_Hall '-P 4 2'
loop_
_atom_site_label
_atom_site_fract_x
_atom_site_fract_y
_atom_site_fract_z
Li1 0.000 0.000 0.092
Li2 0.000 0.000 0.275
In1 0.000 0.000 0.500
Sn1 0.500 0.500 0.000
Sn2 0.500 0.500 0.184
Sn3 0.500 0.500 0.370
```

Its density of states at the Fermi level is 0.3750 states/eV per atom.



Computed, not measured: a geometry-optimized LiIn2Sn2 structure at the PBE-GGA level of DFT.

```
data_LiIn2Sn2
_chemical_formula_sum 'Li2 In4 Sn4'
_cell_length_a 4.964
_cell_length_b 4.964
_cell_length_c 12.361
_cell_angle_alpha 90.00
_cell_angle_beta 90.00
_cell_angle_gamma 90.00
_space_group_name_H-M_alt 'I 4/m m m'
_space_group_IT_number 139
_space_group_name_Hall '-I 4 2'
loop_
_atom_site_label
_atom_site_fract_x
_atom_site_fract_y
_atom_site_fract_z
Li1 0.000 0.000 0.000
In1 0.000 0.000 0.387
Sn1 0.000 0.500 0.250
```

Its density of states at the Fermi level is 0.5844 states/eV per atom. As for the energy above the most stable polymorph in this dataset: 88 meV/atom.



no.,formation energy (eV/atom),volume (A^3/atom),size of the total moment (μB/f.u.)
1,0.005,28.10,0.00
2,-0.019,26.35,0.00
3,-0.025,26.25,0.00
4,-0.012,26.44,0.00
5,-0.294,19.94,0.00
6,-0.042,25.52,0.00
7,-0.230,21.92,0.00
8,0.057,30.46,0.00